Computed, not measured: a relaxed structure of Rb2AsPt at the PBE level of DFT.

Properties
* formation energy from the elements: 0.488 eV per atom

abc: 8.0547 8.0547 8.0547
angles: 90.00 90.00 90.00
With the nearest neighbours (Å) after each atom.
Space group Fm-3m (No. 225)
Inequivalent atoms, fractional coordinates:
Rb (0.2500, 0.2500, 0.2500) (multiplicity 8)  4 Pt 3.49, 4 As 3.49
As (0.0000, 0.0000, 0.0000) (multiplicity 4)  8 Rb 3.49
Pt (0.0000, 0.0000, 0.5000) (multiplicity 4)  8 Rb 3.49